# 1
A plane-wave DFT calculation with PBE was carried out for a geometry-optimized Nb4Al5Co3 structure.

Summary:
Total magnetization (μB/f.u.): 0.00
Space group: P-6m2
DFT formation energy (kcal/mol of atoms): -7.71
Energy (eV/atom): -7.027

Cell lengths 5.053, 5.053, 7.965 Å; angles 90.00, 90.00, 120.00 degrees
Sites, in units of the cell vectors:
Nb: 0.000 0.000 0.176
Nb: 0.000 0.000 0.824
Nb: 0.333 0.667 0.295
Nb: 0.333 0.667 0.705
Al: 0.327 0.163 0.500
Al: 0.667 0.333 0.225
Al: 0.667 0.333 0.775
Al: 0.837 0.163 0.500
Al: 0.837 0.673 0.500
Co: 0.019 0.510 0.000
Co: 0.490 0.510 0.000
Co: 0.490 0.981 0.000

***

# 2
A plane-wave DFT calculation with PBE was carried out for a geometry-optimized Pa6SbSe5 structure.

Summary:
Total magnetization (μB/f.u.): 3.16
Space group: C2/m
Energy (eV/atom): -7.612

Cell lengths 7.255, 7.255, 7.131 Å; angles 99.99, 99.99, 122.19 degrees
Sites, in units of the cell vectors:
Pa: 0.061 0.409 0.734
Pa: 0.230 0.230 0.250
Pa: 0.409 0.061 0.734
Pa: 0.591 0.939 0.266
Pa: 0.770 0.770 0.750
Pa: 0.939 0.591 0.266
Sb: 0.500 0.500 0.000
Se: 0.000 0.000 0.500
Se: 0.171 0.829 0.000
Se: 0.345 0.655 0.500
Se: 0.655 0.345 0.500
Se: 0.829 0.171 0.000

***

# 3
A plane-wave DFT calculation with PBE was carried out for a geometry-optimized LiFeCl4 structure.

Summary:
Total magnetization (μB/f.u.): 5.42
Space group: F-43m
Energy (eV/atom): -2.473

Cell lengths 5.944, 5.944, 5.944 Å; angles 60.00, 60.00, 60.00 degrees
Sites, in units of the cell vectors:
Li: 0.000 0.000 0.000
Fe: 0.250 0.250 0.250
Cl: 0.126 0.625 0.625
Cl: 0.625 0.126 0.625
Cl: 0.625 0.625 0.126
Cl: 0.625 0.625 0.625

***

# 4
A plane-wave DFT calculation with PBE was carried out for a geometry-optimized Pr2AlPd structure.

Summary:
Distance to the lowest polymorph of the same formula (eV/atom): 0.022
Total magnetization (μB/f.u.): 0.00
Space group: P4/mmm
DFT formation energy (kcal/mol of atoms): -11.86
Energy (eV/atom): -5.138

Cell lengths 3.657, 3.657, 7.633 Å; angles 90.00, 90.00, 90.00 degrees
Sites, in units of the cell vectors:
Pr: 0.000 0.000 0.237
Pr: 0.000 0.000 0.763
Al: 0.500 0.500 0.500
Pd: 0.500 0.500 0.000